The following is a PBE-GGA calculation of a relaxed LaCuW crystal, from the Alexandria database.

**Formation enthalpy at 0 K**: 1.650 eV per atom
**Energy above the lowest structure with this stoichiometry**: 330.8 kJ/mol of formula units
**Final energy**: -5.68 eV per atom
**Magnetization**: 2.52 μB per formula unit

abc: 4.743 4.743 4.743
angles: 60.00 60.00 60.00
Element x y z (fractional)
La  0.000  0.000  0.000
Cu  0.750  0.750  0.750
W  0.250  0.250  0.250